This record from the Alexandria database describes a relaxed LiCaTe crystal. The functional is GGA-PBE.

a = 4.5175 Å, b = 4.5175 Å, c = 4.3313 Å
α = 90.00°, β = 90.00°, γ = 120.00°
Space group P-6m2 (No. 187)
Unique sites:
Li: 0.0000 0.0000 0.0000 x1
Ca: 0.3333 0.6667 0.5000 x1
Te: 0.6667 0.3333 0.0000 x1

Results
Uncorrected formation energy: -0.95 eV/atom
V: 76.5 Å³/cell
Magnetic moment: 0.00 μB per formula unit


This record from the Alexandria database describes a relaxed Pm6Ge3SeS2 crystal. The functional is GGA-PBE.

a = 18.298 Å, b = 4.196 Å, c = 8.401 Å
α = 90.00°, β = 103.67°, γ = 90.00°
Space group C2/m (No. 12)
Unique sites:
Pm: 0.001 0.000 0.256 x4
Pm: 0.167 0.500 0.583 x4
Pm: 0.169 0.500 0.085 x4
Ge: 0.000 0.500 0.500 x2
Ge: 0.166 0.000 0.832 x4
Se: 0.000 0.500 0.000 x2
S: 0.167 0.000 0.334 x4

Results
Uncorrected formation energy: -1.44 eV/atom
V: 626.8 Å³/cell
Magnetic moment: 0.00 μB per formula unit


This record from the Alexandria database describes a relaxed SrHfTaW2 crystal. The functional is GGA-PBE.

a = 4.796 Å, b = 4.796 Å, c = 4.835 Å
α = 90.00°, β = 90.00°, γ = 90.00°
Space group P4/mmm (No. 123)
Unique sites:
Sr: 0.000 0.000 0.000 x1
Hf: 0.500 0.500 0.500 x1
Ta: 0.000 0.000 0.500 x1
W: 0.000 0.500 0.000 x2

Results
Energy of formation: 2.974 eV/atom
V: 111.2 Å³/cell
Magnetic moment: 0.00 μB per formula unit


This record from the Alexandria database describes a relaxed CaY2Cl crystal. The functional is GGA-PBE.

a = 4.440 Å, b = 4.440 Å, c = 13.427 Å
α = 90.00°, β = 90.00°, γ = 90.00°
Space group I4/mmm (No. 139)
Unique sites:
Ca: 0.000 0.000 0.000 x2
Y: 0.000 0.500 0.250 x4
Cl: 0.000 0.000 0.500 x2

Results
Uncorrected formation energy: -0.18 eV/atom
V: 264.7 Å³/cell
Magnetic moment: 0.00 μB per formula unit


This record from the Alexandria database describes a relaxed SrTaTcC2 crystal. The functional is GGA-PBE.

a = 4.215 Å, b = 4.215 Å, c = 6.269 Å
α = 90.00°, β = 90.00°, γ = 90.00°
Space group P4/mmm (No. 123)
Unique sites:
Sr: 0.000 0.000 0.000 x1
Ta: 0.000 0.000 0.500 x1
Tc: 0.500 0.500 0.000 x1
C: 0.000 0.500 0.500 x2

Results
Energy of formation: 2.243 eV/atom
V: 111.4 Å³/cell
Magnetic moment: 2.68 μB per formula unit


This record from the Alexandria database describes a relaxed Tc2TePt crystal. The functional is GGA-PBE.

a = 9.010 Å, b = 3.064 Å, c = 5.140 Å
α = 90.00°, β = 105.88°, γ = 90.00°
Space group C2/m (No. 12)
Unique sites:
Tc: 0.244 0.000 0.288 x4
Te: 0.000 0.500 0.000 x2
Pt: 0.000 0.000 0.500 x2

Results
Uncorrected formation energy: 0.32 eV/atom
V: 136.5 Å³/cell
Magnetic moment: 0.00 μB per formula unit


This record from the Alexandria database describes a relaxed ZrInW2 crystal. The functional is GGA-PBE.

a = 5.794 Å, b = 9.147 Å, c = 2.823 Å
α = 90.00°, β = 90.00°, γ = 90.00°
Space group Cmmm (No. 65)
Unique sites:
Zr: 0.000 0.000 0.000 x2
In: 0.000 0.500 0.000 x2
W: 0.250 0.250 0.500 x4

Results
Energy of formation: 0.484 eV/atom
V: 149.6 Å³/cell
Magnetic moment: 0.00 μB per formula unit


This record from the Alexandria database describes a relaxed SmSc2I6 crystal. The functional is GGA-PBE.

a = 16.916 Å, b = 4.092 Å, c = 11.280 Å
α = 90.00°, β = 116.70°, γ = 90.00°
Space group C2/m (No. 12)
Unique sites:
Sm: 0.000 0.000 0.000 x2
Sc: 0.153 0.500 0.310 x4
I: 0.023 0.000 0.292 x4
I: 0.153 0.500 0.053 x4
I: 0.203 0.500 0.608 x4

Results
Uncorrected formation energy: -1.16 eV/atom
V: 697.6 Å³/cell
Magnetic moment: 0.00 μB per formula unit


This record from the Alexandria database describes a relaxed Ce5Te2Ru crystal. The functional is GGA-PBE.

a = 7.854 Å, b = 12.214 Å, c = 4.576 Å
α = 90.00°, β = 90.00°, γ = 90.00°
Space group Pbam (No. 55)
Unique sites:
Ce: 0.000 0.000 0.000 x2
Ce: 0.126 0.301 0.000 x4
Ce: 0.211 0.558 0.500 x4
Te: 0.090 0.821 0.500 x4
Ru: 0.000 0.500 0.000 x2

Results
Uncorrected formation energy: -0.77 eV/atom
V: 439.0 Å³/cell
Magnetic moment: 4.54 μB per formula unit


This record from the Alexandria database describes a relaxed SmTm2Hf crystal. The functional is GGA-PBE.

a = 3.3232 Å, b = 3.3232 Å, c = 35.9556 Å
α = 90.00°, β = 90.00°, γ = 120.00°
Space group R-3m (No. 166, hexagonal axes)
Unique sites:
Sm: 0.0000 0.0000 0.0000 x3
Tm: 0.0000 0.0000 0.4140 x6
Hf: 0.0000 0.0000 0.5000 x3

Results
Energy of formation: 0.368 eV/atom
V: 343.9 Å³/cell
Magnetic moment: 0.00 μB per formula unit


This record from the Alexandria database describes a relaxed Ca2LaTi crystal. The functional is GGA-PBE.

a = 7.991 Å, b = 7.991 Å, c = 7.991 Å
α = 90.00°, β = 90.00°, γ = 90.00°
Space group Fm-3m (No. 225)
Unique sites:
Ca: 0.250 0.250 0.250 x8
La: 0.000 0.000 0.000 x4
Ti: 0.000 0.000 0.500 x4

Results
Energy of formation: 0.494 eV/atom
V: 510.3 Å³/cell
Magnetic moment: 0.00 μB per formula unit


This record from the Alexandria database describes a relaxed LiErPuSe3 crystal. The functional is GGA-PBE.

a = 8.367 Å, b = 4.015 Å, c = 8.793 Å
α = 90.00°, β = 102.99°, γ = 90.00°
Space group P2_1/m (No. 11)
Unique sites:
Li: 0.086 0.250 0.082 x2
Er: 0.333 0.750 0.334 x2
Pu: 0.180 0.250 0.723 x2
Se: 0.100 0.250 0.367 x2
Se: 0.225 0.750 0.000 x2
Se: 0.429 0.750 0.669 x2

Results
Uncorrected formation energy: -1.54 eV/atom
V: 287.8 Å³/cell
Magnetic moment: 5.86 μB per formula unit


This record from the Alexandria database describes a relaxed La2Re crystal. The functional is GGA-PBE.

a = 4.7735 Å, b = 4.7735 Å, c = 8.0987 Å
α = 90.00°, β = 90.00°, γ = 120.00°
Space group P6_3/mmc (No. 194)
Unique sites:
La: 0.0000 0.0000 0.0000 x2
La: 0.3333 0.6667 0.2500 x2
Re: 0.3333 0.6667 0.7500 x2

Results
Energy of formation: 0.326 eV/atom
V: 159.8 Å³/cell
Magnetic moment: 0.00 μB per formula unit


This record from the Alexandria database describes a relaxed CaGeO2 crystal. The functional is GGA-PBE.

a = 3.3348 Å, b = 3.3348 Å, c = 19.0908 Å
α = 90.00°, β = 90.00°, γ = 120.00°
Space group R-3m (No. 166, hexagonal axes)
Unique sites:
Ca: 0.0000 0.0000 0.0000 x3
Ge: 0.0000 0.0000 0.5000 x3
O: 0.0000 0.0000 0.1162 x6

Results
Uncorrected formation energy: -1.08 eV/atom
V: 183.9 Å³/cell
Magnetic moment: 0.00 μB per formula unit


This record from the Alexandria database describes a relaxed HfMgHg2 crystal. The functional is GGA-PBE.

a = 3.025 Å, b = 5.676 Å, c = 11.654 Å
α = 90.00°, β = 90.00°, γ = 90.00°
Space group Immm (No. 71)
Unique sites:
Hf: 0.000 0.000 0.000 x2
Mg: 0.000 0.000 0.500 x2
Hg: 0.000 0.000 0.249 x4

Results
Energy of formation: 0.362 eV/atom
V: 200.1 Å³/cell
Magnetic moment: 0.00 μB per formula unit


This record from the Alexandria database describes a relaxed FePb4W crystal. The functional is GGA-PBE.

a = 8.792 Å, b = 8.792 Å, c = 8.792 Å
α = 90.00°, β = 90.00°, γ = 90.00°
Space group F-43m (No. 216)
Unique sites:
Fe: 0.000 0.000 0.000 x4
Pb: 0.125 0.125 0.625 x16
W: 0.250 0.250 0.250 x4

Results
Energy of formation: 1.488 eV/atom
V: 679.6 Å³/cell
Magnetic moment: 6.37 μB per formula unit


This record from the Alexandria database describes a relaxed La4Ge2F crystal. The functional is GGA-PBE.

a = 4.854 Å, b = 4.854 Å, c = 16.541 Å
α = 90.00°, β = 90.00°, γ = 90.00°
Space group I4/mmm (No. 139)
Unique sites:
La: 0.000 0.000 0.184 x4
La: 0.000 0.500 0.000 x4
Ge: 0.000 0.000 0.368 x4
F: 0.000 0.000 0.000 x2

Results
Uncorrected formation energy: -1.15 eV/atom
V: 389.7 Å³/cell
Magnetic moment: 1.60 μB per formula unit


This record from the Alexandria database describes a relaxed AcInAg2 crystal. The functional is GGA-PBE.

a = 7.429 Å, b = 7.429 Å, c = 7.429 Å
α = 90.00°, β = 90.00°, γ = 90.00°
Space group Fm-3m (No. 225)
Unique sites:
Ac: 0.000 0.000 0.000 x4
In: 0.000 0.000 0.500 x4
Ag: 0.250 0.250 0.250 x8

Results
Energy of formation: -0.292 eV/atom
V: 410.0 Å³/cell
Magnetic moment: 0.00 μB per formula unit


This record from the Alexandria database describes a relaxed Sc2CoPt crystal. The functional is GGA-PBE.

a = 6.388 Å, b = 6.388 Å, c = 6.388 Å
α = 90.00°, β = 90.00°, γ = 90.00°
Space group F-43m (No. 216)
Unique sites:
Sc: 0.000 0.000 0.000 x4
Sc: 0.250 0.250 0.250 x4
Co: 0.250 0.250 0.750 x4
Pt: 0.000 0.000 0.500 x4

Results
Energy of formation: -0.430 eV/atom
V: 260.7 Å³/cell
Magnetic moment: 1.28 μB per formula unit


This record from the Alexandria database describes a relaxed NaHoAgPt crystal. The functional is GGA-PBE.

a = 6.938 Å, b = 6.938 Å, c = 6.938 Å
α = 90.00°, β = 90.00°, γ = 90.00°
Space group F-43m (No. 216)
Unique sites:
Na: 0.000 0.000 0.000 x4
Ho: 0.000 0.000 0.500 x4
Ag: 0.250 0.250 0.750 x4
Pt: 0.250 0.250 0.250 x4

Results
Energy of formation: -0.455 eV/atom
V: 334.0 Å³/cell
Magnetic moment: 0.00 μB per formula unit


This record from the Alexandria database describes a relaxed CsMg2CuHg crystal. The functional is GGA-PBE.

a = 5.247 Å, b = 5.247 Å, c = 5.371 Å
α = 90.00°, β = 90.00°, γ = 90.00°
Space group P4/mmm (No. 123)
Unique sites:
Cs: 0.000 0.000 0.000 x1
Mg: 0.000 0.500 0.500 x2
Cu: 0.500 0.500 0.500 x1
Hg: 0.500 0.500 0.000 x1

Results
Energy of formation: 0.101 eV/atom
V: 147.9 Å³/cell
Magnetic moment: 0.00 μB per formula unit


This record from the Alexandria database describes a relaxed TlGaCu2N crystal. The functional is GGA-PBE.

a = 4.844 Å, b = 4.844 Å, c = 3.769 Å
α = 90.00°, β = 90.00°, γ = 90.00°
Space group P4/mmm (No. 123)
Unique sites:
Tl: 0.000 0.000 0.000 x1
Ga: 0.500 0.500 0.500 x1
Cu: 0.000 0.500 0.500 x2
N: 0.500 0.500 0.000 x1

Results
Uncorrected formation energy: 0.78 eV/atom
V: 88.4 Å³/cell
Magnetic moment: 0.00 μB per formula unit


This record from the Alexandria database describes a relaxed SrLa2In2 crystal. The functional is GGA-PBE.

a = 4.565 Å, b = 17.531 Å, c = 4.729 Å
α = 90.00°, β = 90.00°, γ = 90.00°
Space group Cmmm (No. 65)
Unique sites:
Sr: 0.000 0.000 0.000 x2
La: 0.000 0.344 0.500 x4
In: 0.000 0.196 0.000 x4

Results
Energy of formation: -0.330 eV/atom
V: 378.5 Å³/cell
Magnetic moment: 0.61 μB per formula unit


This record from the Alexandria database describes a relaxed TbPmSc2 crystal. The functional is GGA-PBE.

a = 6.665 Å, b = 8.101 Å, c = 8.656 Å
α = 90.00°, β = 90.00°, γ = 90.00°
Space group P2_1/c (No. 14)
Unique sites:
Tb: 0.124 0.021 0.319 x4
Pm: 0.374 0.529 0.182 x4
Sc: 0.121 0.666 0.493 x4
Sc: 0.372 0.167 0.009 x4

Results
Energy of formation: 0.170 eV/atom
V: 467.4 Å³/cell
Magnetic moment: 0.00 μB per formula unit


This record from the Alexandria database describes a relaxed Ga2SiPd crystal. The functional is GGA-PBE.

a = 5.501 Å, b = 5.501 Å, c = 12.016 Å
α = 90.00°, β = 90.00°, γ = 90.00°
Space group I-42d (No. 122)
Unique sites:
Ga: 0.242 0.250 0.125 x8
Si: 0.000 0.000 0.000 x4
Pd: 0.000 0.000 0.500 x4

Results
Uncorrected formation energy: 0.17 eV/atom
V: 363.7 Å³/cell
Magnetic moment: 0.00 μB per formula unit


This record from the Alexandria database describes a relaxed CsDyCuF6 crystal. The functional is GGA-PBE.

a = 7.455 Å, b = 7.915 Å, c = 10.237 Å
α = 90.00°, β = 90.00°, γ = 90.00°
Space group Imma (No. 74)
Unique sites:
Cs: 0.000 0.250 0.161 x4
Dy: 0.250 0.250 0.750 x4
Cu: 0.000 0.000 0.500 x4
F: 0.000 0.250 0.615 x4
F: 0.000 0.250 0.870 x4
F: 0.193 0.001 0.369 x16

Results
Uncorrected formation energy: -2.94 eV/atom
V: 604.1 Å³/cell
Magnetic moment: 1.00 μB per formula unit